Record 1
TiInCuS2 after structural relaxation, computed with PBEsol.

Structure (CIF):
```
data_TiInCuS2
_cell_length_a 4.620
_cell_length_b 4.620
_cell_length_c 4.902
_cell_angle_alpha 90.00
_cell_angle_beta 90.00
_cell_angle_gamma 90.00
_symmetry_space_group_name_H-M 'P 4/m m m'
_symmetry_Int_Tables_number 123
_symmetry_space_group_name_Hall '-P 4 2'
loop_
_atom_site_label
_atom_site_fract_x
_atom_site_fract_y
_atom_site_fract_z
Ti1 0.000 0.000 0.000
In1 0.500 0.500 0.500
Cu1 0.000 0.000 0.500
S1 0.000 0.500 0.000
```

Summary:
* volume: 20.925 A^3/atom
* spin magnetization: 0.00 μB per formula unit
* D(E_F): 2.536 states/eV/f.u.
* ΔE_f (raw): -190 meV/atom

Record 2
Li2ScSn after structural relaxation, computed with PBEsol.

Structure (CIF):
```
data_Li2ScSn
_cell_length_a 4.106
_cell_length_b 4.106
_cell_length_c 20.487
_cell_angle_alpha 90.00
_cell_angle_beta 90.00
_cell_angle_gamma 90.00
_symmetry_space_group_name_H-M 'I -4 2 d'
_symmetry_Int_Tables_number 122
_symmetry_space_group_name_Hall 'I -4 2bw'
loop_
_atom_site_label
_atom_site_fract_x
_atom_site_fract_y
_atom_site_fract_z
Li1 0.207 0.250 0.125
Sc1 0.000 0.000 0.500
Sn1 0.000 0.000 0.000
```

Summary:
* volume: 21.586 A^3/atom
* formation energy: -0.16 eV per atom
* spin magnetization: 0.00 μB per formula unit
* D(E_F): 2.057 states/eV/f.u.

Record 3
MgTa2Os after structural relaxation, computed with PBEsol.

Structure (CIF):
```
data_MgTa2Os
_cell_length_a 2.8893
_cell_length_b 2.8893
_cell_length_c 28.5837
_cell_angle_alpha 90.00
_cell_angle_beta 90.00
_cell_angle_gamma 120.00
_symmetry_space_group_name_H-M 'R -3 m'
_symmetry_Int_Tables_number 166
_symmetry_space_group_name_Hall '-R 3 2"'
loop_
_atom_site_label
_atom_site_fract_x
_atom_site_fract_y
_atom_site_fract_z
Mg1 0.0000 0.0000 0.0000
Ta1 0.0000 0.0000 0.2431
Os1 0.0000 0.0000 0.5000
```

Summary:
* volume: 17.220 A^3/atom
* formation energy: 0.20 eV per atom
* spin magnetization: 0.00 μB per formula unit
* D(E_F): 2.992 states/eV/f.u.

Record 4
InCuPdC2 after structural relaxation, computed with PBEsol.

Structure (CIF):
```
data_InCuPdC2
_cell_length_a 3.914
_cell_length_b 3.914
_cell_length_c 4.850
_cell_angle_alpha 90.00
_cell_angle_beta 90.00
_cell_angle_gamma 90.00
_symmetry_space_group_name_H-M 'P 4/m m m'
_symmetry_Int_Tables_number 123
_symmetry_space_group_name_Hall '-P 4 2'
loop_
_atom_site_label
_atom_site_fract_x
_atom_site_fract_y
_atom_site_fract_z
In1 0.000 0.000 0.000
Cu1 0.500 0.500 0.000
Pd1 0.500 0.500 0.500
C1 0.000 0.500 0.500
```

Summary:
* volume: 14.859 A^3/atom
* formation energy: 1.64 eV per atom
* spin magnetization: 0.00 μB per formula unit
* D(E_F): 3.083 states/eV/f.u.